First-principles (PBEsol) data for a relaxed K2InPb crystal, as listed in Alexandria.

Computed properties:
**Total energy**: -2.391 eV per atom
**Space group**: F-43m

Lattice parameters (Å, degrees): 5.670 5.670 5.670 60.00 60.00 60.00
Sites, in units of the cell vectors:
1 K 0.000 0.000 0.000
2 K 0.750 0.750 0.750
3 In 0.250 0.250 0.250
4 Pb 0.500 0.500 0.500

---

First-principles (PBEsol) data for a relaxed KIn2Pb2 crystal, as listed in Alexandria.

Computed properties:
**Total energy**: -3.074 eV per atom
**Space group**: P4/mbm

Lattice parameters (Å, degrees): 3.533 9.288 9.288 90.00 90.00 90.00
Sites, in units of the cell vectors:
1 Pb 0.000 0.361 0.861
2 K 0.000 0.000 0.000
3 In 0.500 0.349 0.151
4 In 0.500 0.651 0.849
5 Pb 0.000 0.139 0.361
6 Pb 0.000 0.861 0.639
7 In 0.500 0.151 0.651
8 K 0.000 0.500 0.500
9 Pb 0.000 0.639 0.139
10 In 0.500 0.849 0.349

---

> total energy of number 1 (K2InPb)?

-2.391 eV per atom

---

> Which formula does entry 1 have?

K2InPb

---

> Which value of total energy does entry 2 give?

-3.074 eV per atom

---

> Which of these has the lowest total energy?

KIn2Pb2